Entry 1:
MnFeTcIr | GGA-PBE | optimized geometry

Results
D(E_F) = 0.760 states/eV/atom
Space group = F-43m (216)
Energy of formation = -0.01 eV/atom

Cell lengths 4.247, 4.247, 4.247 Å; angles 60.00, 60.00, 60.00 degrees
Atoms (fractional coordinates):
1 Ir 0.500 0.500 0.500
2 Fe 0.250 0.250 0.250
3 Tc 0.000 0.000 0.000
4 Mn 0.750 0.750 0.750

Entry 2:
AcNdSi2 | GGA-PBE | optimized geometry

Results
D(E_F) = 0.558 states/eV/atom
Space group = Cmcm (63)
Offset from the most stable computed form = 0.000 eV/atom

Cell lengths 4.613, 7.183, 6.722 Å; angles 90.00, 90.00, 108.73 degrees
Atoms (fractional coordinates):
1 Si 0.605 0.210 0.432
2 Si 0.395 0.790 0.568
3 Si 0.605 0.210 0.068
4 Si 0.395 0.790 0.932
5 Nd 0.773 0.546 0.750
6 Nd 0.227 0.454 0.250
7 Ac 0.051 0.102 0.750
8 Ac 0.949 0.898 0.250

Entry 3:
SrZrI2N | GGA-PBE | optimized geometry

Results
D(E_F) = 1.135 states/eV/atom
Space group = P4/mmm (123)
Offset from the most stable computed form = 1.308 eV/atom

Cell lengths 6.223, 6.223, 4.390 Å; angles 90.00, 90.00, 90.00 degrees
Atoms (fractional coordinates):
1 I 0.500 0.000 0.000
2 I 0.000 0.500 0.000
3 N 0.000 0.000 0.500
4 Sr 0.000 0.000 0.000
5 Zr 0.500 0.500 0.500

Entry 4:
SrNdEr2S4 | GGA-PBE | optimized geometry

Results
D(E_F) = 0.368 states/eV/atom
Space group = P2/m (10)
Total energy = -48.1 eV for the cell shown

Cell lengths 3.970, 6.978, 6.934 Å; angles 71.06, 90.00, 90.00 degrees
Atoms (fractional coordinates):
1 S 0.000 0.770 0.744
2 S 0.500 0.772 0.241
3 S 0.500 0.228 0.759
4 S 0.000 0.230 0.256
5 Nd 0.500 0.500 0.000
6 Er 0.000 0.000 0.000
7 Er 0.500 0.000 0.500
8 Sr 0.000 0.500 0.500

Entry 5:
Te2IO | GGA-PBE | optimized geometry

Results
D(E_F) = 0.670 states/eV/atom
Space group = R-3m (166)
Offset from the most stable computed form = 0.604 eV/atom

Cell lengths 3.635, 3.635, 8.569 Å; angles 77.75, 77.75, 60.00 degrees
Atoms (fractional coordinates):
1 I 0.500 0.500 0.500
2 Te 0.268 0.268 0.195
3 Te 0.732 0.732 0.805
4 O 0.000 0.000 0.000

Entry 6:
OsICl3 | GGA-PBE | optimized geometry

Results
D(E_F) = 0.573 states/eV/atom
Space group = P2_1/c (14)
Offset from the most stable computed form = 0.000 eV/atom

Cell lengths 6.048, 13.169, 7.192 Å; angles 76.69, 90.00, 90.00 degrees
Atoms (fractional coordinates):
1 Cl 0.732 0.467 0.940
2 Cl 0.205 0.826 0.380
3 Cl 0.848 0.707 0.665
4 Cl 0.768 0.967 0.440
5 Cl 0.268 0.533 0.060
6 Cl 0.152 0.293 0.335
7 Cl 0.295 0.326 0.880
8 Cl 0.795 0.174 0.620
9 Cl 0.705 0.674 0.120
10 Cl 0.652 0.207 0.165
11 Cl 0.348 0.793 0.835
12 Cl 0.232 0.033 0.560
13 Os 0.543 0.631 0.855
14 Os 0.457 0.369 0.145
15 Os 0.957 0.131 0.355
16 Os 0.043 0.869 0.645
17 I 0.637 0.410 0.448
18 I 0.363 0.590 0.552
19 I 0.863 0.910 0.948
20 I 0.137 0.090 0.052

Entry 7:
ZnPN2 | GGA-PBE | optimized geometry

Results
D(E_F) = 0.483 states/eV/atom
Space group = R-3m (166)
Offset from the most stable computed form = 0.000 eV/atom

Cell lengths 6.371, 6.371, 6.371 Å; angles 24.63, 24.63, 24.63 degrees
Atoms (fractional coordinates):
1 N 0.116 0.116 0.116
2 N 0.884 0.884 0.884
3 P 0.500 0.500 0.500
4 Zn 0.000 0.000 0.000

Entry 8:
LiCa6Hg | GGA-PBE | optimized geometry

Results
D(E_F) = 0.834 states/eV/atom
Space group = P-1 (2)
Offset from the most stable computed form = 0.145 eV/atom
Energy of formation = 0.00 eV/atom

Cell lengths 7.446, 7.453, 7.841 Å; angles 61.62, 61.70, 59.98 degrees
Atoms (fractional coordinates):
1 Ca 0.438 0.756 0.751
2 Ca 0.244 0.947 0.249
3 Ca 0.946 0.561 0.249
4 Ca 0.562 0.244 0.249
5 Ca 0.756 0.053 0.751
6 Ca 0.054 0.439 0.751
7 Li 0.500 0.500 0.500
8 Hg 0.000 0.000 0.000

Entry 9:
PdRh2Se6 | GGA-PBE | optimized geometry

Results
D(E_F) = 0.543 states/eV/atom
Space group = P-3m1 (164)
Offset from the most stable computed form = 0.000 eV/atom

Cell lengths 5.040, 11.214, 11.214 Å; angles 120.00, 90.00, 90.00 degrees
Atoms (fractional coordinates):
1 Se 0.269 0.211 0.423
2 Se 0.282 0.544 0.456
3 Se 0.258 0.886 0.773
4 Se 0.731 0.789 0.577
5 Se 0.718 0.456 0.544
6 Se 0.258 0.227 0.114
7 Se 0.269 0.577 0.789
8 Se 0.731 0.789 0.211
9 Se 0.282 0.911 0.456
10 Se 0.282 0.544 0.089
11 Se 0.258 0.886 0.114
12 Se 0.731 0.423 0.211
13 Se 0.742 0.114 0.886
14 Se 0.718 0.456 0.911
15 Se 0.742 0.773 0.886
16 Se 0.742 0.114 0.227
17 Se 0.269 0.211 0.789
18 Se 0.718 0.089 0.544
19 Rh 0.000 0.336 0.336
20 Rh 0.000 0.664 0.664
21 Rh 0.000 0.336 0.000
22 Rh 0.000 0.000 0.664
23 Rh 0.000 0.664 0.000
24 Rh 0.000 0.000 0.336
25 Pd 0.488 0.333 0.667
26 Pd 0.512 0.667 0.333
27 Pd 0.000 0.000 0.000

Entry 10:
AlSiBi2 | GGA-PBE | optimized geometry

Results
D(E_F) = 0.603 states/eV/atom
Space group = I-42d (122)
Total energy = -30.9 eV for the cell shown

Cell lengths 6.455, 6.455, 8.024 Å; angles 66.28, 66.28, 90.00 degrees
Atoms (fractional coordinates):
1 Bi 0.628 0.125 0.250
2 Bi 0.875 0.878 0.750
3 Bi 0.375 0.372 0.750
4 Bi 0.122 0.625 0.250
5 Al 0.500 0.500 0.000
6 Al 0.250 0.750 0.500
7 Si 0.000 0.000 0.000
8 Si 0.750 0.250 0.500

Entry 11:
CeSmInTc | GGA-PBE | optimized geometry

Results
D(E_F) = 0.857 states/eV/atom
Space group = F-43m (216)
Energy of formation = -0.05 eV/atom

Cell lengths 5.165, 5.165, 5.165 Å; angles 60.00, 60.00, 60.00 degrees
Atoms (fractional coordinates):
1 Sm 0.750 0.750 0.750
2 In 0.000 0.000 0.000
3 Ce 0.250 0.250 0.250
4 Tc 0.500 0.500 0.500

Entry 12:
Pr2Dy5Tm3 | GGA-PBE | optimized geometry

Results
D(E_F) = 1.712 states/eV/atom
Space group = C2/c (15)
Offset from the most stable computed form = 0.136 eV/atom
Energy of formation = 0.20 eV/atom

Cell lengths 9.357, 9.412, 11.123 Å; angles 125.05, 124.95, 68.92 degrees
Atoms (fractional coordinates):
1 Dy 0.982 0.232 0.464
2 Dy 0.603 0.845 0.232
3 Dy 0.721 0.471 0.942
4 Dy 0.870 0.613 0.768
5 Dy 0.279 0.529 0.058
6 Dy 0.130 0.387 0.232
7 Dy 0.018 0.768 0.536
8 Dy 0.524 0.274 0.548
9 Dy 0.476 0.726 0.452
10 Dy 0.397 0.155 0.768
11 Pr 0.779 0.014 0.747
12 Pr 0.468 0.734 0.747
13 Pr 0.221 0.986 0.253
14 Pr 0.532 0.266 0.253
15 Tm 0.226 0.976 0.952
16 Tm 0.730 0.461 0.240
17 Tm 0.774 0.024 0.048
18 Tm 0.990 0.221 0.760
19 Tm 0.010 0.779 0.240
20 Tm 0.270 0.539 0.760

Entry 13:
AcNd2SbO8 | GGA-PBE | optimized geometry

Results
D(E_F) = 0.000 states/eV/atom
Space group = P-1 (2)
Total energy = -86.9 eV for the cell shown

Cell lengths 4.566, 5.616, 7.402 Å; angles 84.89, 87.10, 85.71 degrees
Atoms (fractional coordinates):
1 O 0.590 0.886 0.995
2 O 0.899 0.227 0.188
3 O 0.931 0.258 0.793
4 O 0.410 0.114 0.005
5 O 0.101 0.773 0.812
6 O 0.069 0.742 0.207
7 O 0.564 0.737 0.506
8 O 0.436 0.263 0.494
9 Ac 0.000 0.000 0.500
10 Sb 0.000 0.000 0.000
11 Nd 0.555 0.541 0.257
12 Nd 0.445 0.459 0.743

Entry 14:
Ac2ZnGa12 | GGA-PBE | optimized geometry

Results
D(E_F) = 0.242 states/eV/atom
Space group = P4/nbm (125)
Energy of formation = -0.32 eV/atom

Cell lengths 6.395, 6.395, 15.535 Å; angles 90.00, 90.00, 90.00 degrees
Atoms (fractional coordinates):
1 Ga 0.251 0.249 0.087
2 Ga 0.249 0.251 0.913
3 Ga 0.000 0.000 0.657
4 Ga 0.823 0.677 0.430
5 Ga 0.251 0.751 0.913
6 Ga 0.000 0.000 0.823
7 Ga 0.500 0.500 0.657
8 Ga 0.177 0.323 0.430
9 Ga 0.500 0.500 0.177
10 Ga 0.823 0.323 0.570
11 Ga 0.177 0.677 0.570
12 Ga 0.749 0.751 0.087
13 Ga 0.677 0.823 0.570
14 Ga 0.751 0.251 0.087
15 Ga 0.323 0.177 0.570
16 Ga 0.677 0.177 0.430
17 Ga 0.749 0.249 0.913
18 Ga 0.500 0.500 0.343
19 Ga 0.000 0.000 0.343
20 Ga 0.751 0.749 0.913
21 Ga 0.249 0.749 0.087
22 Ga 0.000 0.000 0.177
23 Ga 0.500 0.500 0.823
24 Ga 0.323 0.823 0.430
25 Zn 0.000 0.500 0.000
26 Zn 0.500 0.000 0.000
27 Ac 0.000 0.500 0.753
28 Ac 0.500 0.000 0.247
29 Ac 0.000 0.500 0.247
30 Ac 0.500 0.000 0.753

Entry 15:
CsSiTeHSe | GGA-PBE | optimized geometry

Results
Space group = P1 (1)
Offset from the most stable computed form = 0.006 eV/atom

Cell lengths 4.072, 5.723, 7.402 Å; angles 105.94, 96.25, 90.20 degrees
Atoms (fractional coordinates):
1 Cs 0.723 0.959 0.311
2 Se 0.248 0.503 0.434
3 H 0.343 0.817 0.856
4 Si 0.318 0.554 0.741
5 Te 0.844 0.364 0.874

Entry 16:
In2PbBrN | GGA-PBE | optimized geometry

Results
D(E_F) = 0.587 states/eV/atom
Space group = P4/mmm (123)
Total energy = -16.6 eV for the cell shown

Cell lengths 4.760, 5.329, 4.760 Å; angles 90.00, 90.00, 90.00 degrees
Atoms (fractional coordinates):
1 Br 0.000 0.500 0.000
2 N 0.000 0.000 0.000
3 In 0.500 0.000 0.000
4 In 0.000 0.000 0.500
5 Pb 0.500 0.500 0.500

Entry 17:
CsCaC3 | GGA-PBE | optimized geometry

Results
D(E_F) = 0.714 states/eV/atom
Space group = Pm-3m (221)
Offset from the most stable computed form = 0.000 eV/atom
Energy of formation = 2.78 eV/atom

Cell lengths 5.210, 5.210, 5.210 Å; angles 90.00, 90.00, 90.00 degrees
Atoms (fractional coordinates):
1 C 0.000 0.000 0.500
2 C 0.500 0.000 0.000
3 C 0.000 0.500 0.000
4 Cs 0.500 0.500 0.500
5 Ca 0.000 0.000 0.000

Entry 18:
Pu2ThSi | GGA-PBE | optimized geometry

Results
D(E_F) = 2.703 states/eV/atom
Space group = Fm-3m (225)
Offset from the most stable computed form = 0.281 eV/atom

Cell lengths 5.092, 5.092, 5.095 Å; angles 60.02, 60.02, 60.00 degrees
Atoms (fractional coordinates):
1 Pu 0.250 0.250 0.250
2 Pu 0.750 0.750 0.750
3 Si 0.000 0.000 0.000
4 Th 0.500 0.500 0.500

Entry 19:
Li2ZrTi2S6 | GGA-PBE | optimized geometry

Results
D(E_F) = 0.479 states/eV/atom
Space group = C2/m (12)
Total energy = -68.8 eV for the cell shown

Cell lengths 6.079, 6.079, 6.553 Å; angles 98.75, 98.75, 120.22 degrees
Atoms (fractional coordinates):
1 Ti 0.666 0.334 0.500
2 Ti 0.334 0.666 0.500
3 Zr 0.000 0.000 0.500
4 S 0.424 0.077 0.737
5 S 0.923 0.576 0.263
6 S 0.576 0.923 0.263
7 S 0.731 0.731 0.738
8 S 0.269 0.269 0.262
9 S 0.077 0.424 0.737
10 Li 0.837 0.163 0.000
11 Li 0.163 0.837 0.000

Entry 20:
NaSm2Zr | GGA-PBE | optimized geometry

Results
D(E_F) = 1.006 states/eV/atom
Space group = P4/mmm (123)
Offset from the most stable computed form = 0.000 eV/atom
Energy of formation = 0.12 eV/atom

Cell lengths 3.437, 3.437, 10.546 Å; angles 90.00, 90.00, 90.00 degrees
Atoms (fractional coordinates):
1 Sm 0.000 0.000 0.782
2 Sm 0.000 0.000 0.218
3 Zr 0.500 0.500 0.000
4 Na 0.500 0.500 0.500

Ordered total magnetic moment results: 6.32; 0.00; 1.73; 0.00; 0.00; 3.85; 0.00; 0.00; 0.00; 0.00; 0.00; 0.00; 0.00; 0.00; 0.00; 0.00; 8.62; 12.77; 0.00; 0.00; unit μB per cell.